#i
A plane-wave DFT calculation with PBE was carried out for a relaxed KAgS2Cl crystal.

Unit cell a=5.8121 b=5.8121 c=5.6521 alpha=90.00 beta=90.00 gamma=90.00
Last column: magnetic moment on the atom in μB.
Atoms (fractional coordinates):
K: 0.0000 0.0000 0.0000  0.01
S: 0.5000 0.0000 0.0000  0.85
S: 0.0000 0.5000 0.0000  0.85
Ag: 0.5000 0.5000 0.5000  -0.03
Cl: 0.0000 0.0000 0.5000  0.16



#ii
A plane-wave DFT calculation with PBE was carried out for a relaxed KAgS2Cl crystal.

Unit cell a=4.8488 b=4.8488 c=5.5645 alpha=90.00 beta=90.00 gamma=90.00
Last column: magnetic moment on the atom in μB.
Atoms (fractional coordinates):
Cl: 0.0000 0.0000 0.5000  0.09
Ag: 0.0000 0.0000 0.0000  0.06
S: 0.5000 0.0000 0.0000  0.29
S: 0.0000 0.5000 0.0000  0.29
K: 0.5000 0.5000 0.5000  0.00



Which structure loses on stability? #i does.



#i
A plane-wave DFT calculation with PBE was carried out for a relaxed K2TbAgCl6 crystal.

Unit cell a=7.5848 b=7.5848 c=7.5848 alpha=60.00 beta=60.00 gamma=60.00
Atoms (fractional coordinates):
Cl: 0.7541 0.7541 0.2459
Cl: 0.2459 0.2459 0.7541
Cl: 0.7541 0.2459 0.7541
Cl: 0.2459 0.7541 0.2459
Ag: 0.5000 0.5000 0.5000
Cl: 0.2459 0.7541 0.7541
K: 0.7500 0.7500 0.7500
Cl: 0.7541 0.2459 0.2459
Tb: 0.0000 0.0000 0.0000
K: 0.2500 0.2500 0.2500



#ii
A plane-wave DFT calculation with PBE was carried out for a relaxed K2TbAgCl6 crystal.

Unit cell a=7.3242 b=7.7001 c=10.3028 alpha=90.00 beta=89.25 gamma=90.00
Atoms (fractional coordinates):
K: 0.5221 0.5720 0.7510
Cl: 0.2946 0.6899 0.0499
Cl: 0.3998 0.9724 0.7489
Tb: 0.0000 0.5000 0.0000
K: 0.0221 0.9280 0.2510
K: 0.9779 0.0720 0.7490
Cl: 0.3138 0.7109 0.4491
Cl: 0.1862 0.2109 0.0509
Cl: 0.8138 0.7891 0.9491
Cl: 0.7054 0.3101 0.9501
Cl: 0.6862 0.2891 0.5509
Cl: 0.1002 0.4724 0.7511
Ag: 0.0000 0.5000 0.5000
Cl: 0.2054 0.1899 0.4501
K: 0.4779 0.4280 0.2490
Tb: 0.5000 0.0000 0.5000
Cl: 0.6002 0.0276 0.2511
Cl: 0.7946 0.8101 0.5499
Cl: 0.8998 0.5276 0.2489
Ag: 0.5000 0.0000 0.0000



Which structure loses on stability? #i does.



#i
A plane-wave DFT calculation with PBE was carried out for a relaxed K2TlAgCl6 crystal.

Unit cell a=7.2490 b=7.5635 c=10.3375 alpha=90.00 beta=89.75 gamma=90.00
Atoms (fractional coordinates):
Ag: 0.5000 0.0000 0.0000
Cl: 0.2037 0.1961 0.4537
Cl: 0.6948 0.2937 0.5450
Cl: 0.7037 0.3039 0.9537
Cl: 0.4086 0.9808 0.7492
Cl: 0.2963 0.6961 0.0463
Ag: 0.0000 0.5000 0.5000
Tl: 0.5000 0.0000 0.5000
Cl: 0.1948 0.2063 0.0450
Cl: 0.9086 0.5192 0.2492
K: 0.4785 0.4293 0.2498
Cl: 0.0914 0.4808 0.7508
Tl: 0.0000 0.5000 0.0000
Cl: 0.7963 0.8039 0.5463
Cl: 0.3052 0.7063 0.4550
K: 0.0215 0.9293 0.2502
K: 0.9785 0.0707 0.7498
Cl: 0.5914 0.0192 0.2508
K: 0.5215 0.5707 0.7502
Cl: 0.8052 0.7937 0.9550



#ii
A plane-wave DFT calculation with PBE was carried out for a relaxed K2TlAgCl6 crystal.

Unit cell a=7.4931 b=7.4931 c=7.4931 alpha=60.00 beta=60.00 gamma=60.00
Atoms (fractional coordinates):
Cl: 0.2491 0.7509 0.7509
Ag: 0.5000 0.5000 0.5000
Cl: 0.7509 0.2491 0.7509
Cl: 0.2491 0.7509 0.2491
Cl: 0.7509 0.7509 0.2491
Cl: 0.7509 0.2491 0.2491
K: 0.2500 0.2500 0.2500
K: 0.7500 0.7500 0.7500
Tl: 0.0000 0.0000 0.0000
Cl: 0.2491 0.2491 0.7509



Which structure loses on stability? #ii does.



#i
A plane-wave DFT calculation with PBE was carried out for a relaxed K2YAgCl6 crystal.

Unit cell a=7.3199 b=7.6918 c=10.2832 alpha=90.00 beta=89.32 gamma=90.00
Atoms (fractional coordinates):
Cl: 0.3999 0.9727 0.7486
Cl: 0.7938 0.8104 0.5497
Cl: 0.6001 0.0273 0.2514
Ag: 0.5000 0.0000 0.0000
K: 0.5222 0.5721 0.7510
Cl: 0.8999 0.5273 0.2486
Cl: 0.2062 0.1896 0.4503
Cl: 0.7062 0.3104 0.9503
K: 0.4778 0.4279 0.2490
Cl: 0.8141 0.7885 0.9493
Ag: 0.0000 0.5000 0.5000
Y: 0.0000 0.5000 0.0000
Cl: 0.2938 0.6896 0.0497
Cl: 0.6859 0.2885 0.5507
K: 0.0222 0.9279 0.2510
Cl: 0.1859 0.2115 0.0507
Y: 0.5000 0.0000 0.5000
K: 0.9778 0.0721 0.7490
Cl: 0.3141 0.7115 0.4493
Cl: 0.1001 0.4727 0.7514



#ii
A plane-wave DFT calculation with PBE was carried out for a relaxed K2YAgCl6 crystal.

Unit cell a=7.5712 b=7.5712 c=7.5712 alpha=60.00 beta=60.00 gamma=60.00
Atoms (fractional coordinates):
Cl: 0.2544 0.7456 0.2544
Cl: 0.2544 0.7456 0.7456
K: 0.2500 0.2500 0.2500
K: 0.7500 0.7500 0.7500
Y: 0.5000 0.5000 0.5000
Ag: 0.0000 0.0000 0.0000
Cl: 0.7456 0.7456 0.2544
Cl: 0.7456 0.2544 0.2544
Cl: 0.2544 0.2544 0.7456
Cl: 0.7456 0.2544 0.7456



Which structure loses on stability? #ii does.



#i
A plane-wave DFT calculation with PBE was carried out for a relaxed LaAg2Cl crystal.

Unit cell a=3.6076 b=3.6076 c=8.1153 alpha=90.00 beta=90.00 gamma=90.00
Atoms (fractional coordinates):
Ag: 0.5000 0.5000 0.1679
Cl: 0.0000 0.0000 0.5586
La: 0.5000 0.5000 0.7600
Ag: 0.0000 0.0000 0.0135



#ii
A plane-wave DFT calculation with PBE was carried out for a relaxed LaAg2Cl crystal.

Unit cell a=4.5722 b=4.5722 c=7.0944 alpha=72.24 beta=72.24 gamma=59.89
Atoms (fractional coordinates):
Ag: 0.7059 0.7059 0.8700
La: 0.2616 0.2616 0.2196
Cl: 0.5269 0.5269 0.4349
Ag: 0.0056 0.0056 0.9754



Which structure loses on stability? #i does.



#i
A plane-wave DFT calculation with PBE was carried out for a relaxed LaAgCl3 crystal.

Unit cell a=5.1056 b=5.1056 c=5.1056 alpha=90.00 beta=90.00 gamma=90.00
Last column: magnetic moment on the atom in μB.
Atoms (fractional coordinates):
La: 0.5000 0.5000 0.5000  0.56
Cl: 0.5000 0.0000 0.0000  0.00
Ag: 0.0000 0.0000 0.0000  0.00
Cl: 0.0000 0.5000 0.0000  0.00
Cl: 0.0000 0.0000 0.5000  0.00



#ii
A plane-wave DFT calculation with PBE was carried out for a relaxed LaAgCl3 crystal.

Unit cell a=5.5702 b=5.5702 c=5.5702 alpha=90.00 beta=90.00 gamma=90.00
Last column: magnetic moment on the atom in μB.
Atoms (fractional coordinates):
Ag: 0.5000 0.5000 0.5000  -0.24
Cl: 0.0000 0.0000 0.5000  -0.02
Cl: 0.0000 0.5000 0.0000  -0.03
La: 0.0000 0.0000 0.0000  -0.01
Cl: 0.5000 0.0000 0.0000  -0.02



Which structure loses on stability? #i does.



#i
A plane-wave DFT calculation with PBE was carried out for a relaxed LaAgCl4 crystal.

Unit cell a=5.8903 b=5.8903 c=5.8903 alpha=60.00 beta=60.00 gamma=60.00
Last column: magnetic moment on the atom in μB.
Atoms (fractional coordinates):
Cl: 0.3748 0.3748 0.3748  0.22
Cl: 0.3748 0.8757 0.3748  0.22
Cl: 0.8757 0.3748 0.3748  0.22
Cl: 0.3748 0.3748 0.8757  0.22
Ag: 0.0000 0.0000 0.0000  0.08
La: 0.7500 0.7500 0.7500  0.08



#ii
A plane-wave DFT calculation with PBE was carried out for a relaxed LaAgCl4 crystal.

Unit cell a=4.2639 b=7.1153 c=12.8968 alpha=87.52 beta=90.00 gamma=90.00
Atoms (fractional coordinates):
Cl: 0.4979 0.8314 0.1040
La: 0.0000 0.0000 0.5000
Cl: 0.9979 0.6686 0.3960
Cl: 0.0021 0.3314 0.6040
Cl: 0.9999 0.6435 0.8763
Cl: 0.4999 0.8565 0.6237
Cl: 0.5001 0.1435 0.3763
Ag: 0.0000 0.0000 0.0000
Ag: 0.5000 0.5000 0.5000
Cl: 0.0001 0.3565 0.1237
Cl: 0.5021 0.1686 0.8960
La: 0.5000 0.5000 0.0000



#iii
A plane-wave DFT calculation with PBE was carried out for a relaxed LaAgCl4 crystal.

Unit cell a=7.4746 b=7.1405 c=7.1405 alpha=99.74 beta=105.07 gamma=105.07
Atoms (fractional coordinates):
Cl: 0.9860 0.1577 0.7498
Ag: 0.7500 0.6194 0.3806
Cl: 0.5140 0.2502 0.8423
Cl: 0.4860 0.7498 0.1577
Cl: 0.6341 0.2301 0.3052
Cl: 0.3659 0.7699 0.6948
Cl: 0.8659 0.6948 0.7699
Cl: 0.1341 0.3052 0.2301
Ag: 0.2500 0.3806 0.6194
La: 0.2500 0.9958 0.0042
Cl: 0.0140 0.8423 0.2502
La: 0.7500 0.0042 0.9958



Which structure loses on stability? #i does.



#i
A plane-wave DFT calculation with PBE was carried out for a relaxed Rb2LaAgCl6 crystal.

Unit cell a=7.7901 b=7.7901 c=7.7901 alpha=60.00 beta=60.00 gamma=60.00
Atoms (fractional coordinates):
Cl: 0.7490 0.2510 0.7490
Ag: 0.5000 0.5000 0.5000
Cl: 0.2510 0.7490 0.2510
Cl: 0.7490 0.7490 0.2510
Cl: 0.2510 0.7490 0.7490
Cl: 0.7490 0.2510 0.2510
Rb: 0.2500 0.2500 0.2500
Cl: 0.2510 0.2510 0.7490
La: 0.0000 0.0000 0.0000
Rb: 0.7500 0.7500 0.7500



#ii
A plane-wave DFT calculation with PBE was carried out for a relaxed Rb2LaAgCl6 crystal.

Unit cell a=7.6264 b=7.9211 c=10.6683 alpha=90.00 beta=90.57 gamma=90.00
Atoms (fractional coordinates):
Cl: 0.1993 0.2104 0.4570
Cl: 0.0849 0.4782 0.7548
Cl: 0.2934 0.7008 0.4560
Cl: 0.7934 0.7992 0.9560
La: 0.0000 0.5000 0.5000
Rb: 0.9831 0.0610 0.7507
Rb: 0.5169 0.5610 0.7493
Cl: 0.8007 0.7896 0.5430
Cl: 0.6993 0.2896 0.9570
Cl: 0.7066 0.2992 0.5440
Ag: 0.5000 0.0000 0.5000
Rb: 0.4831 0.4390 0.2507
Cl: 0.2066 0.2008 0.0440
Cl: 0.3007 0.7104 0.0430
Cl: 0.9151 0.5218 0.2452
Cl: 0.4151 0.9782 0.7452
Rb: 0.0169 0.9390 0.2493
La: 0.5000 0.0000 0.0000
Ag: 0.0000 0.5000 0.0000
Cl: 0.5849 0.0218 0.2548



Which structure loses on stability? #i does.